<P>
VASP calculation (PBE-GGA) on crystalline Pr2ClO at its relaxed geometry.

The crystal system is trigonal. Its spin magnetization is 0.92 μB/cell.

The space group is R3m (No. 160, hexagonal axes) and the conventional cell measures 3.5042, 3.5042 and 23.4900 Å, with angles of 90.00, 90.00 and 120.00 degrees. The distinct sites, in fractional coordinates, are Pr at (0.0000, 0.0000, 0.0000), Pr at (0.0000, 0.0000, 0.1425), Cl at (0.0000, 0.0000, 0.5715) and O at (0.0000, 0.0000, 0.7369).

<Q>
VASP calculation (PBE-GGA) on crystalline Pr2ClO at its relaxed geometry.

The crystal system is trigonal. Its spin magnetization is 0.00 μB/cell.

The space group is R-3m (No. 166, hexagonal axes) and the conventional cell measures 3.6621, 3.6621 and 21.5391 Å, with angles of 90.00, 90.00 and 120.00 degrees. The distinct sites, in fractional coordinates, are Pr at (0.0000, 0.0000, 0.2317), Cl at (0.0000, 0.0000, 0.0000) and O at (0.0000, 0.0000, 0.5000).

Most favorable structure: <Q>. The second most favorable one is 165 meV/atom above it.

<P>
VASP calculation (PBE-GGA) on crystalline PrSClO4 at its relaxed geometry.

The crystal system is monoclinic. Its spin magnetization is 0.00 μB/cell.

The space group is C2/m (No. 12) and the conventional cell measures 10.019, 7.206 and 6.640 Å, with angles of 90.00, 103.56 and 90.00 degrees. The distinct sites, in fractional coordinates, are Pr at (0.229, 0.000, 0.142), S at (0.136, 0.500, 0.262), Cl at (0.025, 0.000, 0.762), O at (0.013, 0.500, 0.762), O at (0.181, 0.336, 0.150) and O at (0.210, 0.500, 0.480).

<Q>
VASP calculation (PBE-GGA) on crystalline PrSClO4 at its relaxed geometry.

The crystal system is monoclinic. Its spin magnetization is 0.00 μB/cell.

The space group is P2_1/c (No. 14) and the conventional cell measures 6.736, 8.164 and 8.720 Å, with angles of 90.00, 114.24 and 90.00 degrees. The distinct sites, in fractional coordinates, are Pr at (0.113, 0.194, 0.224), S at (0.279, 0.582, 0.069), Cl at (0.228, 0.039, 0.970), O at (0.132, 0.687, 0.118), O at (0.174, 0.581, 0.878), O at (0.288, 0.089, 0.628) and O at (0.496, 0.654, 0.129).

Most favorable structure: <Q>. The second most favorable one is 13 meV/atom above it.

<P>
VASP calculation (PBE-GGA) on crystalline Pt2ClO at its relaxed geometry.

The crystal system is tetragonal. Its spin magnetization is 0.00 μB/cell.

The space group is I-42d (No. 122) and the conventional cell measures 4.753, 4.753 and 13.041 Å, with angles of 90.00, 90.00 and 90.00 degrees. The distinct sites, in fractional coordinates, are Pt at (0.107, 0.250, 0.125), Cl at (0.000, 0.000, 0.500) and O at (0.000, 0.000, 0.000).

<Q>
VASP calculation (PBE-GGA) on crystalline Pt2ClO at its relaxed geometry.

The crystal system is cubic. Its spin magnetization is 0.00 μB/cell.

The space group is Fm-3m (No. 225) and the conventional cell measures 6.071, 6.071 and 6.071 Å, with angles of 90.00, 90.00 and 90.00 degrees. The distinct sites, in fractional coordinates, are Pt at (0.250, 0.250, 0.250), Cl at (0.000, 0.000, 0.000) and O at (0.000, 0.000, 0.500).

Most favorable structure: <P>. The second most favorable one is 633 meV/atom above it.

<P>
VASP calculation (PBE-GGA) on crystalline Pu2ClO at its relaxed geometry.

The crystal system is tetragonal. Its spin magnetization is 12.86 μB/cell.

The space group is P4/mmm (No. 123) and the conventional cell measures 3.185, 3.185 and 7.320 Å, with angles of 90.00, 90.00 and 90.00 degrees. The distinct sites, in fractional coordinates, are Pu at (0.000, 0.000, 0.210), Cl at (0.500, 0.500, 0.500) and O at (0.500, 0.500, 0.000).

<Q>
VASP calculation (PBE-GGA) on crystalline Pu2ClO at its relaxed geometry.

The crystal system is trigonal. Its spin magnetization is 34.39 μB/cell.

The space group is R-3m (No. 166, hexagonal axes) and the conventional cell measures 3.5418, 3.5418 and 21.2094 Å, with angles of 90.00, 90.00 and 120.00 degrees. The distinct sites, in fractional coordinates, are Pu at (0.0000, 0.0000, 0.2314), Cl at (0.0000, 0.0000, 0.0000) and O at (0.0000, 0.0000, 0.5000).

Most favorable structure: <Q>. The second most favorable one is 409 meV/atom above it.

<P>
VASP calculation (PBE-GGA) on crystalline Rb6ClO2 at its relaxed geometry.

The crystal system is monoclinic. Its spin magnetization is 0.00 μB/cell.

The space group is C2/m (No. 12) and the conventional cell measures 14.645, 5.634 and 10.451 Å, with angles of 90.00, 122.55 and 90.00 degrees. The distinct sites, in fractional coordinates, are Rb at (0.027, 0.000, 0.183), Rb at (0.164, 0.500, 0.628), Rb at (0.212, 0.500, 0.069), Cl at (0.000, 0.000, 0.500) and O at (0.173, 0.000, 0.085).

<Q>
VASP calculation (PBE-GGA) on crystalline Rb6ClO2 at its relaxed geometry.

The crystal system is monoclinic. Its spin magnetization is 0.00 μB/cell.

The space group is C2/m (No. 12) and the conventional cell measures 15.931, 5.542 and 9.966 Å, with angles of 90.00, 103.15 and 90.00 degrees. The distinct sites, in fractional coordinates, are Rb at (0.089, 0.000, 0.217), Rb at (0.127, 0.500, 0.626), Rb at (0.250, 0.000, 0.897), Cl at (0.000, 0.000, 0.500) and O at (0.241, 0.000, 0.174).

Most favorable structure: <P>. The second most favorable one is 28 meV/atom above it.

<P>
VASP calculation (PBE-GGA) on crystalline Rb2ClO at its relaxed geometry.

The crystal system is cubic. Its spin magnetization is 4.00 μB/cell.

The space group is Fm-3m (No. 225) and the conventional cell measures 7.633, 7.633 and 7.633 Å, with angles of 90.00, 90.00 and 90.00 degrees. The distinct sites, in fractional coordinates, are Rb at (0.250, 0.250, 0.250), Cl at (0.000, 0.000, 0.000) and O at (0.000, 0.000, 0.500).

<Q>
VASP calculation (PBE-GGA) on crystalline Rb2ClO at its relaxed geometry.

The crystal system is tetragonal. Its spin magnetization is 4.00 μB/cell.

The space group is I-42d (No. 122) and the conventional cell measures 6.870, 6.870 and 13.876 Å, with angles of 90.00, 90.00 and 90.00 degrees. The distinct sites, in fractional coordinates, are Rb at (0.196, 0.250, 0.125), Cl at (0.000, 0.000, 0.500) and O at (0.000, 0.000, 0.000).

Most favorable structure: <Q>. The second most favorable one is 46 meV/atom above it.

<P>
VASP calculation (PBE-GGA) on crystalline Re2ClO at its relaxed geometry.

The crystal system is tetragonal. Its spin magnetization is 0.00 μB/cell.

The space group is I-42d (No. 122) and the conventional cell measures 4.013, 4.013 and 14.516 Å, with angles of 90.00, 90.00 and 90.00 degrees. The distinct sites, in fractional coordinates, are Re at (0.175, 0.250, 0.125), Cl at (0.000, 0.000, 0.500) and O at (0.000, 0.000, 0.000).

<Q>
VASP calculation (PBE-GGA) on crystalline Re2ClO at its relaxed geometry.

The crystal system is cubic. Its spin magnetization is 0.00 μB/cell.

The space group is Fm-3m (No. 225) and the conventional cell measures 5.829, 5.829 and 5.829 Å, with angles of 90.00, 90.00 and 90.00 degrees. The distinct sites, in fractional coordinates, are Re at (0.250, 0.250, 0.250), Cl at (0.000, 0.000, 0.000) and O at (0.000, 0.000, 0.500).

Most favorable structure: <P>. The second most favorable one is 888 meV/atom above it.

<P>
VASP calculation (PBE-GGA) on crystalline ReCl3O at its relaxed geometry.

The crystal system is monoclinic. Its spin magnetization is 8.00 μB/cell.

The space group is C2/m (No. 12) and the conventional cell measures 12.531, 11.325 and 5.834 Å, with angles of 90.00, 93.79 and 90.00 degrees. The distinct sites, in fractional coordinates, are Re at (0.190, 0.000, 0.463), Cl at (0.137, 0.500, 0.407), Cl at (0.176, 0.157, 0.228) and O at (0.104, 0.000, 0.678).

<Q>
VASP calculation (PBE-GGA) on crystalline ReCl3O at its relaxed geometry.

The crystal system is cubic. Its spin magnetization is 0.02 μB/cell.

The space group is Pm-3m (No. 221) and the conventional cell measures 4.415, 4.415 and 4.415 Å, with angles of 90.00, 90.00 and 90.00 degrees. The distinct sites, in fractional coordinates, are Re at (0.000, 0.000, 0.000), Cl at (0.000, 0.500, 0.500) and O at (0.500, 0.500, 0.500).

Most favorable structure: <P>. The second most favorable one is 2423 meV/atom above it.

<P>
VASP calculation (PBE-GGA) on crystalline ReS2ClO at its relaxed geometry.

The crystal system is tetragonal. Its spin magnetization is 0.00 μB/cell.

The space group is P4/mmm (No. 123) and the conventional cell measures 4.536, 4.536 and 4.739 Å, with angles of 90.00, 90.00 and 90.00 degrees. The distinct sites, in fractional coordinates, are Re at (0.000, 0.000, 0.000), S at (0.000, 0.500, 0.000), Cl at (0.000, 0.000, 0.500) and O at (0.500, 0.500, 0.500).

<Q>
VASP calculation (PBE-GGA) on crystalline ReS2ClO at its relaxed geometry.

The crystal system is tetragonal. Its spin magnetization is 4.15 μB/cell.

The space group is P4/mmm (No. 123) and the conventional cell measures 3.889, 3.889 and 5.545 Å, with angles of 90.00, 90.00 and 90.00 degrees. The distinct sites, in fractional coordinates, are Re at (0.000, 0.000, 0.000), S at (0.000, 0.500, 0.500), Cl at (0.500, 0.500, 0.000) and O at (0.500, 0.500, 0.500).

Most favorable structure: <P>. The second most favorable one is 529 meV/atom above it.

<P>
VASP calculation (PBE-GGA) on crystalline RuClO at its relaxed geometry.

The crystal system is triclinic. Its spin magnetization is 0.00 μB/cell.

The space group is P1 (No. 1) and the conventional cell measures 4.521, 4.523 and 6.587 Å, with angles of 87.88, 85.03 and 81.55 degrees. The distinct sites, in fractional coordinates, are Ru at (0.000, 0.000, 0.000), Ru at (0.331, 0.331, 0.000), Cl at (0.199, 0.676, 0.725), Cl at (0.632, 0.155, 0.275), O at (0.146, 0.660, 0.161) and O at (0.685, 0.171, 0.838).

<Q>
VASP calculation (PBE-GGA) on crystalline RuClO at its relaxed geometry.

The crystal system is triclinic. Its spin magnetization is 0.00 μB/cell.

The space group is P1 (No. 1) and the conventional cell measures 3.293, 5.409 and 5.951 Å, with angles of 80.71, 85.36 and 83.70 degrees. The distinct sites, in fractional coordinates, are Ru at (0.000, 0.000, 0.000), Ru at (0.425, 0.541, 0.983), Cl at (0.493, 0.223, 0.733), Cl at (0.496, 0.822, 0.257), O at (0.933, 0.717, 0.825) and O at (0.941, 0.334, 0.115).

<R>
VASP calculation (PBE-GGA) on crystalline RuClO at its relaxed geometry.

The crystal system is monoclinic. Its spin magnetization is 1.96 μB/cell.

The space group is Cm (No. 8) and the conventional cell measures 5.565, 3.216 and 5.800 Å, with angles of 90.00, 91.09 and 90.00 degrees. The distinct sites, in fractional coordinates, are Ru at (0.000, 0.000, 0.000), Cl at (0.172, 0.500, 0.283) and O at (0.331, 0.000, 0.856).

<S>
VASP calculation (PBE-GGA) on crystalline RuClO at its relaxed geometry.

The crystal system is triclinic. Its spin magnetization is 0.00 μB/cell.

The space group is P1 (No. 1) and the conventional cell measures 3.517, 5.413 and 6.125 Å, with angles of 104.80, 98.78 and 93.73 degrees. The distinct sites, in fractional coordinates, are Ru at (0.000, 0.000, 0.000), Ru at (0.276, 0.579, 0.114), Cl at (0.698, 0.352, 0.835), Cl at (0.853, 0.744, 0.377), O at (0.204, 0.282, 0.235) and O at (0.473, 0.853, 0.951).

Most favorable structure: <P>. The second most favorable one is 67 meV/atom above it.

<P>
VASP calculation (PBE-GGA) on crystalline Ru2ClO at its relaxed geometry.

The crystal system is cubic. Its spin magnetization is 0.00 μB/cell.

The space group is Fm-3m (No. 225) and the conventional cell measures 5.793, 5.793 and 5.793 Å, with angles of 90.00, 90.00 and 90.00 degrees. The distinct sites, in fractional coordinates, are Ru at (0.250, 0.250, 0.250), Cl at (0.000, 0.000, 0.000) and O at (0.000, 0.000, 0.500).

<Q>
VASP calculation (PBE-GGA) on crystalline Ru2ClO at its relaxed geometry.

The crystal system is tetragonal. Its spin magnetization is 0.00 μB/cell.

The space group is I-42d (No. 122) and the conventional cell measures 4.096, 4.096 and 13.801 Å, with angles of 90.00, 90.00 and 90.00 degrees. The distinct sites, in fractional coordinates, are Ru at (0.174, 0.250, 0.125), Cl at (0.000, 0.000, 0.500) and O at (0.000, 0.000, 0.000).

Most favorable structure: <Q>. The second most favorable one is 533 meV/atom above it.